Record 1
Below is a PBEsol-optimized structure of RePd3Rh, with properties calculated at the meta-GGA SCAN level.

It has space group Pm-3m (No. 221), with a = 4.632 Å, b = 4.632 Å, c = 4.632 Å, α = 90.00°, β = 90.00° and γ = 90.00°. Symmetry generates all atoms from Re at (0.000, 0.000, 0.000), Pd at (0.000, 0.500, 0.500) and Rh at (0.500, 0.500, 0.500).

For the total DFT energy (no corrections), the calculation gives -193.433 eV per cell. The volume comes out at 19.9 A^3/atom.

---

Record 2
Below is a PBEsol-optimized structure of Re2SbPd2, with properties calculated at the meta-GGA SCAN level.

It has space group I4/mmm (No. 139), with a = 3.549 Å, b = 3.549 Å, c = 13.797 Å, α = 90.00°, β = 90.00° and γ = 90.00°. Symmetry generates all atoms from Re at (0.000, 0.500, 0.250), Sb at (0.000, 0.000, 0.000) and Pd at (0.000, 0.000, 0.400).

For the total DFT energy (no corrections), the calculation gives -486.463 eV per cell. The volume comes out at 17.4 A^3/atom.

---

Record 3
Below is a PBEsol-optimized structure of Sc2ReSiPd, with properties calculated at the meta-GGA SCAN level.

It has space group P4/mmm (No. 123), with a = 4.831 Å, b = 4.831 Å, c = 4.355 Å, α = 90.00°, β = 90.00° and γ = 90.00°. Symmetry generates all atoms from Sc at (0.000, 0.500, 0.000), Re at (0.000, 0.000, 0.500), Si at (0.000, 0.000, 0.000) and Pd at (0.500, 0.500, 0.500).

For the total DFT energy (no corrections), the calculation gives -140.455 eV per cell. The volume comes out at 20.3 A^3/atom.

---

Record 4
Below is a PBEsol-optimized structure of Re3PdSe, with properties calculated at the meta-GGA SCAN level.

It has space group Pm-3m (No. 221), with a = 4.456 Å, b = 4.456 Å, c = 4.456 Å, α = 90.00°, β = 90.00° and γ = 90.00°. Symmetry generates all atoms from Re at (0.000, 0.000, 0.500), Pd at (0.500, 0.500, 0.500) and Se at (0.000, 0.000, 0.000).

For the total DFT energy (no corrections), the calculation gives -256.809 eV per cell. The volume comes out at 17.7 A^3/atom.

---

Record 5
Below is a PBEsol-optimized structure of Re2SnPdSe, with properties calculated at the meta-GGA SCAN level.

It has space group P4/mmm (No. 123), with a = 4.475 Å, b = 4.475 Å, c = 5.257 Å, α = 90.00°, β = 90.00° and γ = 90.00°. Symmetry generates all atoms from Re at (0.000, 0.500, 0.000), Sn at (0.000, 0.000, 0.500), Pd at (0.500, 0.500, 0.500) and Se at (0.000, 0.000, 0.000).

For the total DFT energy (no corrections), the calculation gives -221.842 eV per cell. The volume comes out at 21.1 A^3/atom.

---

Record 6
Below is a PBEsol-optimized structure of SrReSiPd2, with properties calculated at the meta-GGA SCAN level.

It has space group P4/mmm (No. 123), with a = 4.838 Å, b = 4.838 Å, c = 5.286 Å, α = 90.00°, β = 90.00° and γ = 90.00°. Symmetry generates all atoms from Sr at (0.000, 0.000, 0.000), Re at (0.500, 0.500, 0.500), Si at (0.000, 0.000, 0.500) and Pd at (0.000, 0.500, 0.000).

For the total DFT energy (no corrections), the calculation gives -157.268 eV per cell. The volume comes out at 24.7 A^3/atom.

---

Record 7
Below is a PBEsol-optimized structure of SrRePd3, with properties calculated at the meta-GGA SCAN level.

It has space group Pm-3m (No. 221), with a = 4.902 Å, b = 4.902 Å, c = 4.902 Å, α = 90.00°, β = 90.00° and γ = 90.00°. Symmetry generates all atoms from Sr at (0.000, 0.000, 0.000), Re at (0.500, 0.500, 0.500) and Pd at (0.000, 0.000, 0.500).

For the total DFT energy (no corrections), the calculation gives -181.706 eV per cell. The volume comes out at 23.6 A^3/atom.

---

Record 8
Below is a PBEsol-optimized structure of SrReTe2Pd, with properties calculated at the meta-GGA SCAN level.

It has space group P4/mmm (No. 123), with a = 5.929 Å, b = 5.929 Å, c = 4.938 Å, α = 90.00°, β = 90.00° and γ = 90.00°. Symmetry generates all atoms from Sr at (0.000, 0.000, 0.000), Re at (0.500, 0.500, 0.500), Te at (0.000, 0.500, 0.000) and Pd at (0.000, 0.000, 0.500).

For the total DFT energy (no corrections), the calculation gives -192.582 eV per cell. The volume comes out at 34.7 A^3/atom.

---

Record 9
Below is a PBEsol-optimized structure of Y2TaRePd, with properties calculated at the meta-GGA SCAN level.

It has space group P4/mmm (No. 123), with a = 5.301 Å, b = 5.301 Å, c = 4.724 Å, α = 90.00°, β = 90.00° and γ = 90.00°. Symmetry generates all atoms from Y at (0.000, 0.500, 0.000), Ta at (0.000, 0.000, 0.500), Re at (0.000, 0.000, 0.000) and Pd at (0.500, 0.500, 0.500).

For the total DFT energy (no corrections), the calculation gives -223.101 eV per cell. The volume comes out at 26.5 A^3/atom.

---

Record 10
Below is a PBEsol-optimized structure of Re2TcPd, with properties calculated at the meta-GGA SCAN level.

It has space group Fm-3m (No. 225), with a = 6.150 Å, b = 6.150 Å, c = 6.150 Å, α = 90.00°, β = 90.00° and γ = 90.00°. Symmetry generates all atoms from Re at (0.250, 0.250, 0.250), Tc at (0.000, 0.000, 0.000) and Pd at (0.000, 0.000, 0.500).

For the total DFT energy (no corrections), the calculation gives -832.911 eV per cell. The volume comes out at 14.5 A^3/atom.

---

Record 11
Below is a PBEsol-optimized structure of ReTcPd3, with properties calculated at the meta-GGA SCAN level.

It has space group Pm-3m (No. 221), with a = 4.601 Å, b = 4.601 Å, c = 4.601 Å, α = 90.00°, β = 90.00° and γ = 90.00°. Symmetry generates all atoms from Re at (0.000, 0.000, 0.000), Tc at (0.500, 0.500, 0.500) and Pd at (0.000, 0.500, 0.500).

For the total DFT energy (no corrections), the calculation gives -194.296 eV per cell. The volume comes out at 19.5 A^3/atom.

---

Record 12
Below is a PBEsol-optimized structure of ReTc2Pd, with properties calculated at the meta-GGA SCAN level.

It has space group Fm-3m (No. 225), with a = 6.125 Å, b = 6.125 Å, c = 6.125 Å, α = 90.00°, β = 90.00° and γ = 90.00°. Symmetry generates all atoms from Re at (0.000, 0.000, 0.000), Tc at (0.250, 0.250, 0.250) and Pd at (0.000, 0.000, 0.500).

For the total DFT energy (no corrections), the calculation gives -691.914 eV per cell. The volume comes out at 14.4 A^3/atom.

---

Among the records above, which one has the lowest volume? ReTc2Pd

---

Number 10 is which compound? Re2TcPd